# 1
The following is a PBE calculation of a relaxed Sc3GaSe crystal, from the Alexandria database.

The formation energy from raw total energies is -11.30 kcal/mol of atoms. The energy above the most stable polymorph in this dataset comes out at 0.00 kcal/mol of atoms.

Lattice parameters (Å, degrees): 4.942 4.942 4.942 90.00 90.00 90.00
Space group Pm-3m (No. 221)
One atom of each set of equivalent atoms:
Sc (0.000, 0.000, 0.500)
Ga (0.500, 0.500, 0.500)
Se (0.000, 0.000, 0.000)



# 2
The following is a PBE calculation of a relaxed TiB3Sb crystal, from the Alexandria database.

The formation energy from raw total energies is 32.35 kcal/mol of atoms. The energy above the most stable polymorph in this dataset comes out at 0.00 kcal/mol of atoms.

Lattice parameters (Å, degrees): 4.209 4.209 4.209 90.00 90.00 90.00
Space group Pm-3m (No. 221)
One atom of each set of equivalent atoms:
Ti (0.000, 0.000, 0.000)
B (0.000, 0.000, 0.500)
Sb (0.500, 0.500, 0.500)



# 3
The following is a PBE calculation of a relaxed TbSmMnHg crystal, from the Alexandria database.

The formation energy from the elements is -6.9 kJ/mol of atoms.

Lattice parameters (Å, degrees): 7.370 7.370 7.370 90.00 90.00 90.00
Space group F-43m (No. 216)
One atom of each set of equivalent atoms:
Tb (0.000, 0.000, 0.000)
Sm (0.000, 0.000, 0.500)
Mn (0.250, 0.250, 0.250)
Hg (0.250, 0.250, 0.750)



# 4
The following is a PBE calculation of a relaxed CrFeRe crystal, from the Alexandria database.

The formation energy from the elements is 15.9 kJ/mol of atoms. The energy above the most stable polymorph in this dataset comes out at 4.63 kcal/mol of atoms.

Lattice parameters (Å, degrees): 2.605 3.651 7.883 90.00 90.00 90.00
Space group Imm2 (No. 44)
One atom of each set of equivalent atoms:
Cr (0.000, 0.000, 0.000)
Fe (0.000, 0.000, 0.656)
Re (0.000, 0.000, 0.325)